1.
PaHgPd2O8: relaxed, PBE-GGA.

- formation energy (no corrections) (meV/atom) = -879
- total magnetization (μB/f.u.) = 0.00
- V (Å³/cell) = 176.7

POSCAR file:
```
PaHgPd2O8
1.0
-3.5706 3.5706 3.4647
3.5706 -3.5706 3.4647
3.5706 3.5706 -3.4647
Pa Hg Pd O
1 1 2 8
direct
0.0000 0.0000 0.0000
0.7500 0.2500 0.5000
0.2500 0.7500 0.5000
0.5000 0.5000 0.0000
0.0454 0.3626 0.3172
0.0454 0.7283 0.6828
0.1110 0.2803 0.8306
0.2717 0.9546 0.3172
0.4497 0.2803 0.1694
0.6374 0.9546 0.6828
0.7197 0.5503 0.8306
0.7197 0.8890 0.1694
```

---

2.
SrTmZnIn: relaxed, PBE-GGA.

- total magnetization (μB/f.u.) = 0.00
- calculated total energy (Ha/atom) = -0.103
- V (Å³/cell) = 110.5

POSCAR file:
```
SrTmZnIn
1.0
0.0000 3.8088 3.8088
3.8088 0.0000 3.8088
3.8088 3.8088 0.0000
Sr Tm Zn In
1 1 1 1
direct
0.0000 0.0000 0.0000
0.5000 0.5000 0.5000
0.7500 0.7500 0.7500
0.2500 0.2500 0.2500
```

---

3.
ErPuTe: relaxed, PBE-GGA.

- formation energy (no corrections) (meV/atom) = -542
- total magnetization (μB/f.u.) = 6.43
- V (Å³/cell) = 84.8

POSCAR file:
```
ErPuTe
1.0
-1.9314 1.9314 5.6856
1.9314 -1.9314 5.6856
1.9314 1.9314 -5.6856
Er Pu Te
1 1 1
direct
0.0000 0.0000 0.0000
0.6930 0.6930 0.0000
0.3584 0.3584 0.0000
```

---

4.
AcInGa3: relaxed, PBE-GGA.

- total magnetization (μB/f.u.) = 0.00
- calculated total energy (Ha/atom) = -0.132
- V (Å³/cell) = 245.7

POSCAR file:
```
AcInGa3
1.0
2.3063 -12.0499 0.0000
2.3063 12.0499 0.0000
0.0000 0.0000 4.4201
Ac In Ga
2 2 6
direct
0.0788 0.9212 0.7500
0.9212 0.0788 0.2500
0.2012 0.7988 0.2500
0.7988 0.2012 0.7500
0.3125 0.6875 0.2500
0.3702 0.6298 0.7500
0.4748 0.5252 0.7500
0.5252 0.4748 0.2500
0.6298 0.3702 0.2500
0.6875 0.3125 0.7500
```